No. 1
The following is a PBE calculation of YTmC2I2 after structural relaxation, from OQMD. Values from VASP.

```
&SYSTEM
  ibrav = 0, nat = 6, ntyp = 4
/
ATOMIC_SPECIES
C 12.01 C.upf
I 126.90 I.upf
Tm 168.93 Tm.upf
Y 88.91 Y.upf
CELL_PARAMETERS angstrom
3.640 -1.936 0.000
3.640 1.936 0.000
-0.653 0.000 11.176
ATOMIC_POSITIONS crystal
C 0.578 0.578 0.469
C 0.422 0.422 0.525
I 0.177 0.177 0.193
I 0.825 0.825 0.811
Tm 0.854 0.854 0.379
Y 0.145 0.145 0.622
```

Results
The value obtained for the energy is -37.54 eV per cell.

No. 2
The following is a PBE calculation of Ta4Al after structural relaxation, from OQMD. Values from VASP.

```
&SYSTEM
  ibrav = 0, nat = 30, ntyp = 2
/
ATOMIC_SPECIES
Al 26.98 Al.upf
Ta 180.95 Ta.upf
CELL_PARAMETERS angstrom
10.188 0.000 0.000
0.000 10.188 0.000
0.000 0.000 5.316
ATOMIC_POSITIONS crystal
Al 0.000 0.000 0.000
Al 0.390 0.390 0.000
Al 0.610 0.610 0.000
Al 0.890 0.110 0.500
Al 0.500 0.500 0.500
Al 0.110 0.890 0.500
Ta 0.741 0.065 0.000
Ta 0.465 0.129 0.000
Ta 0.935 0.259 0.000
Ta 0.129 0.465 0.000
Ta 0.871 0.535 0.000
Ta 0.065 0.741 0.000
Ta 0.535 0.871 0.000
Ta 0.259 0.935 0.000
Ta 0.188 0.188 0.249
Ta 0.812 0.812 0.249
Ta 0.688 0.312 0.251
Ta 0.312 0.688 0.251
Ta 0.629 0.035 0.500
Ta 0.435 0.241 0.500
Ta 0.965 0.371 0.500
Ta 0.241 0.435 0.500
Ta 0.759 0.565 0.500
Ta 0.035 0.629 0.500
Ta 0.565 0.759 0.500
Ta 0.371 0.965 0.500
Ta 0.688 0.312 0.749
Ta 0.312 0.688 0.749
Ta 0.188 0.188 0.751
Ta 0.812 0.812 0.751
```

Results
The value obtained for the energy is -305.25 eV per cell.